No. 1
A relaxed structure of Ba2BiPbSe4, computed with PBE-GGA.

Lattice parameters (Å, degrees): 9.0077 9.0077 9.5575 120.62 120.62 90.02
Last column: nearest neighbours and their distance in Å.
Sites, in units of the cell vectors:
1 Pb 0.0000 0.0000 0.0000  6 Se 3.12-3.25
2 Pb 0.5000 0.5000 0.5000  6 Se 3.12-3.25
3 Se 0.7616 0.7413 0.5113  1 Bi 3.06, 2 Pb 3.13-3.25, 3 Ba 3.25-3.41
4 Se 0.2411 0.7301 0.5025  1 Bi 2.98, 1 Pb 3.12, 2 Ba 3.26-3.30
5 Se 0.7589 0.2699 0.4975  1 Bi 2.98, 1 Pb 3.12, 2 Ba 3.26-3.30
6 Se 0.2301 0.7411 0.0025  1 Bi 2.98, 1 Pb 3.12, 2 Ba 3.26-3.30
7 Se 0.7587 0.7384 0.9887  1 Bi 3.06, 2 Pb 3.13-3.25, 3 Ba 3.25-3.41
8 Se 0.2384 0.2587 0.4887  1 Bi 3.06, 2 Pb 3.13-3.25, 3 Ba 3.25-3.41
9 Se 0.7699 0.2589 0.9975  1 Bi 2.98, 1 Pb 3.12, 2 Ba 3.26-3.30
10 Se 0.2413 0.2616 0.0113  1 Bi 3.06, 2 Pb 3.13-3.25, 3 Ba 3.25-3.41
11 Ba 0.5000 0.0000 0.0000  6 Se 3.30-3.39
12 Ba 0.5000 0.0000 0.5000  6 Se 3.30-3.39
13 Ba 0.0000 0.0000 0.5000  6 Se 3.25-3.41
14 Ba 0.5000 0.5000 0.0000  6 Se 3.25-3.41
15 Bi 0.0000 0.5000 0.0000  4 Se 2.98-3.06
16 Bi 0.0000 0.5000 0.5000  4 Se 2.98-3.06

The formation energy from raw total energies comes out at -1.1274 eV per atom. As for the space group: C2/c.


No. 2
A relaxed structure of Tm8Te4AuSe3, computed with PBE-GGA.

Lattice parameters (Å, degrees): 8.3508 8.4478 8.3507 119.62 120.00 90.00
Last column: nearest neighbours and their distance in Å.
Sites, in units of the cell vectors:
1 Se 0.0000 0.5000 0.5000  6 Tm 2.85-2.88
2 Se 0.5000 0.5000 0.0000  6 Tm 2.84-2.88
3 Se 0.5000 0.5000 0.5000  6 Tm 2.85-2.88
4 Tm 0.2509 0.2809 0.0159  1 Au 2.79, 2 Se 2.88, 2 Te 3.07
5 Tm 0.7648 0.2812 0.5297  1 Au 2.79, 2 Se 2.88, 2 Te 3.08
6 Tm 0.2352 0.7188 0.4703  1 Au 2.79, 2 Se 2.88, 2 Te 3.08
7 Tm 0.2608 0.2822 0.5217  3 Se 2.84-2.85, 3 Te 3.11
8 Tm 0.7649 0.2809 0.0159  1 Au 2.79, 2 Se 2.88, 2 Te 3.07
9 Tm 0.7392 0.7178 0.4783  3 Se 2.84-2.85, 3 Te 3.11
10 Tm 0.7491 0.7191 0.9841  1 Au 2.79, 2 Se 2.88, 2 Te 3.07
11 Tm 0.2351 0.7191 0.9841  1 Au 2.79, 2 Se 2.88, 2 Te 3.07
12 Au 0.0000 0.5000 0.0000  6 Tm 2.79
13 Te 0.0000 0.0000 0.5000  6 Tm 3.07-3.11
14 Te 0.5000 0.0000 0.0000  6 Tm 3.15
15 Te 0.0000 0.0000 0.0000  6 Tm 3.07-3.11
16 Te 0.5000 0.0000 0.5000  6 Tm 3.07-3.11

The formation energy from raw total energies comes out at -1.3496 eV per atom. As for the space group: R-3m.


No. 3
A relaxed structure of LaMoSN2, computed with PBE-GGA.

Lattice parameters (Å, degrees): 4.0455 4.0455 4.7819 90.00 90.00 90.00
Last column: nearest neighbours and their distance in Å.
Sites, in units of the cell vectors:
1 Mo 0.0000 0.0000 0.0000  4 N 2.02
2 La 0.5000 0.5000 0.5000  4 S 2.86, 8 N 3.13
3 N 0.0000 0.5000 0.0000  2 Mo 2.02
4 N 0.5000 0.0000 0.0000  2 Mo 2.02
5 S 0.0000 0.0000 0.5000  2 Mo 2.39

The energy above the lowest structure with this stoichiometry comes out at 0.0 meV/atom. The formation energy from raw total energies comes out at -0.7384 eV per atom. As for the space group: P4/mmm.


No. 4
A relaxed structure of AsPd2Pt2, computed with PBE-GGA.

Lattice parameters (Å, degrees): 6.5371 6.5371 3.9267 90.00 90.00 90.00
Last column: nearest neighbours and their distance in Å.
Sites, in units of the cell vectors:
1 Pt 0.3491 0.1509 0.5000  6 Pd 2.70-2.78, 1 Pt 2.79
2 Pt 0.1509 0.6509 0.5000  6 Pd 2.70-2.78, 1 Pt 2.79
3 Pt 0.8491 0.3491 0.5000  6 Pd 2.70-2.78, 1 Pt 2.79
4 Pt 0.6509 0.8491 0.5000  6 Pd 2.70-2.78, 1 Pt 2.79
5 As 0.5000 0.5000 0.0000  4 Pd 2.49
6 As 0.0000 0.0000 0.0000  4 Pd 2.49
7 Pd 0.1492 0.3508 0.0000  2 As 2.49, 6 Pt 2.70-2.78, 1 Pd 2.76
8 Pd 0.3508 0.8508 0.0000  2 As 2.49, 6 Pt 2.70-2.78, 1 Pd 2.76
9 Pd 0.8508 0.6492 0.0000  2 As 2.49, 6 Pt 2.70-2.78, 1 Pd 2.76
10 Pd 0.6492 0.1492 0.0000  2 As 2.49, 6 Pt 2.70-2.78, 1 Pd 2.76

The formation energy is 0.09 eV per atom. The energy above the lowest structure with this stoichiometry comes out at 104.8 meV/atom. As for the space group: P4/mbm.


No. 5
A relaxed structure of Ac2TbBi, computed with PBE-GGA.

Lattice parameters (Å, degrees): 4.4196 4.4196 7.7157 90.00 90.00 90.00
Last column: nearest neighbours and their distance in Å.
Sites, in units of the cell vectors:
1 Tb 0.5000 0.5000 0.0000  8 Ac 3.75, 2 Bi 3.86
2 Ac 0.0000 0.0000 0.2676  1 Ac 3.59, 4 Bi 3.60, 4 Tb 3.75
3 Ac 0.0000 0.0000 0.7324  1 Ac 3.59, 4 Bi 3.60, 4 Tb 3.75
4 Bi 0.5000 0.5000 0.5000  8 Ac 3.60, 2 Tb 3.86

The formation energy is -0.33 eV per atom. The energy above the lowest structure with this stoichiometry comes out at 8.8 meV/atom. As for the space group: P4/mmm.


No. 6
A relaxed structure of V7Re2W3, computed with PBE-GGA.

Lattice parameters (Å, degrees): 4.2719 4.2528 10.5001 101.68 90.00 90.00
Last column: nearest neighbours and their distance in Å.
Sites, in units of the cell vectors:
1 Re 0.0000 0.1475 0.2949  7 V 2.57-2.77
2 Re 0.0000 0.8525 0.7051  7 V 2.57-2.77
3 V 0.0000 0.0000 0.0000  8 V 2.62-2.64
4 V 0.0000 0.5741 0.1482  2 Re 2.61, 2 V 2.62, 4 W 2.62-2.65
5 V 0.5000 0.9248 0.8496  2 Re 2.60, 4 W 2.63, 2 V 2.64
6 V 0.0000 0.7180 0.4359  2 V 2.50, 2 W 2.54, 3 Re 2.57-2.77
7 V 0.0000 0.2820 0.5641  2 V 2.50, 2 W 2.54, 3 Re 2.57-2.77
8 V 0.5000 0.0752 0.1504  2 Re 2.60, 4 W 2.63, 2 V 2.64
9 V 0.0000 0.4259 0.8518  2 Re 2.61, 2 V 2.62, 4 W 2.62-2.65
10 W 0.5000 0.3493 0.6985  6 V 2.54-2.65
11 W 0.5000 0.6507 0.3015  6 V 2.54-2.65
12 W 0.5000 0.5000 0.0000  8 V 2.62-2.63

The formation energy is 0.28 eV per atom. As for the space group: Cmmm.


What is the formula in the fourth record? AsPd2Pt2